Compound: Nb3HAu
Source: the Alexandria database
Functional: GGA-PBEsol
Structure: optimized geometry

Cell lengths 4.144, 4.144, 4.144 Å; angles 90.00, 90.00, 90.00 degrees
Space group Pm-3m (No. 221)
Asymmetric unit:
Nb1 0.000 0.000 0.500 [3 per cell]
H1 0.000 0.000 0.000 [1 per cell]
Au1 0.500 0.500 0.500 [1 per cell]

**Magnetic moment**: 0.0 μB/f.u.
**Mass density**: 11.1 g/cm³
**Total DFT energy (no corrections)**: -40.471 eV per cell

Compound: Hf2MnBr
Source: the Alexandria database
Functional: GGA-PBEsol
Structure: optimized geometry

Cell lengths 6.572, 6.572, 6.572 Å; angles 90.00, 90.00, 90.00 degrees
Space group Fm-3m (No. 225)
Asymmetric unit:
Hf1 0.250 0.250 0.250 [8 per cell]
Mn1 0.000 0.000 0.000 [4 per cell]
Br1 0.000 0.000 0.500 [4 per cell]

**Magnetic moment**: 1.7 μB/f.u.
**Mass density**: 11.5 g/cm³
**Total DFT energy (no corrections)**: -125.654 eV per cell

Compound: ZnHgW2
Source: the Alexandria database
Functional: GGA-PBEsol
Structure: optimized geometry

Cell lengths 3.356, 4.535, 8.498 Å; angles 90.00, 90.00, 90.00 degrees
Space group Imm2 (No. 44)
Asymmetric unit:
Zn1 0.000 0.000 0.000 [2 per cell]
Hg1 0.000 0.500 0.743 [2 per cell]
W1 0.000 0.000 0.516 [2 per cell]
W2 0.000 0.500 0.245 [2 per cell]

**ΔE to the lowest computed polymorph**: 17 meV per atom
**Magnetic moment**: 0.0 μB/f.u.
**Mass density**: 16.3 g/cm³
**Total DFT energy (no corrections)**: -55.100 eV per cell
**Calculated formation energy**: 0.553 eV per atom

Compound: La5Tl
Source: the Alexandria database
Functional: GGA-PBEsol
Structure: optimized geometry

Cell lengths 3.687, 3.687, 14.371 Å; angles 90.00, 90.00, 90.00 degrees
Space group P4/mmm (No. 123)
Asymmetric unit:
La1 0.000 0.000 0.000 [1 per cell]
La2 0.000 0.000 0.350 [2 per cell]
La3 0.500 0.500 0.175 [2 per cell]
Tl1 0.500 0.500 0.500 [1 per cell]

**ΔE to the lowest computed polymorph**: 9 meV per atom
**Magnetic moment**: 0.0 μB/f.u.
**Mass density**: 7.6 g/cm³
**Total DFT energy (no corrections)**: -30.180 eV per cell
**Calculated formation energy**: -0.136 eV per atom

Compound: Ag2Mo
Source: the Alexandria database
Functional: GGA-PBEsol
Structure: optimized geometry

Cell lengths 2.672, 4.235, 8.485 Å; angles 90.00, 90.00, 90.00 degrees
Space group Immm (No. 71)
Asymmetric unit:
Ag1 0.000 0.000 0.165 [4 per cell]
Mo1 0.000 0.000 0.500 [2 per cell]

**ΔE to the lowest computed polymorph**: 38 meV per atom
**Magnetic moment**: 0.8 μB/f.u.
**Mass density**: 10.8 g/cm³
**Total DFT energy (no corrections)**: -33.139 eV per cell
**Calculated formation energy**: 0.607 eV per atom

Compound: MgIrRh2
Source: the Alexandria database
Functional: GGA-PBEsol
Structure: optimized geometry

Cell lengths 2.739, 4.403, 4.669 Å; angles 90.00, 90.00, 90.00 degrees
Space group Pmm2 (No. 25)
Asymmetric unit:
Mg1 0.000 0.000 0.000 [1 per cell]
Ir1 0.000 0.500 0.360 [1 per cell]
Rh1 0.500 0.000 0.503 [1 per cell]
Rh2 0.500 0.500 0.859 [1 per cell]

**Magnetic moment**: 0.0 μB/f.u.
**Mass density**: 12.5 g/cm³
**Total DFT energy (no corrections)**: -28.570 eV per cell
**Calculated formation energy**: -0.188 eV per atom

Compound: Be3Ag4P3BrO12
Source: the Alexandria database
Functional: GGA-PBEsol
Structure: optimized geometry

Cell lengths 8.520, 8.520, 8.520 Å; angles 90.00, 90.00, 90.00 degrees
Space group P-43n (No. 218)
Asymmetric unit:
Be1 0.000 0.250 0.500 [6 per cell]
Ag1 0.171 0.171 0.171 [8 per cell]
P1 0.000 0.500 0.250 [6 per cell]
Br1 0.000 0.000 0.000 [2 per cell]
O1 0.053 0.359 0.649 [24 per cell]

**Magnetic moment**: 0.0 μB/f.u.
**Mass density**: 4.4 g/cm³
**Total DFT energy (no corrections)**: -299.039 eV per cell

Compound: HgGeF3
Source: the Alexandria database
Functional: GGA-PBEsol
Structure: optimized geometry

Cell lengths 4.478, 4.478, 4.478 Å; angles 90.00, 90.00, 90.00 degrees
Space group Pm-3m (No. 221)
Asymmetric unit:
Hg1 0.000 0.000 0.000 [1 per cell]
Ge1 0.500 0.500 0.500 [1 per cell]
F1 0.000 0.000 0.500 [3 per cell]

**Magnetic moment**: 0.7 μB/f.u.
**Mass density**: 6.1 g/cm³
**Total DFT energy (no corrections)**: -15.403 eV per cell